# 1
# TlCoSbI2

TlCoSbI2 after structural relaxation (GGA-PBEsol, Alexandria via LeMat-Bulk).

Cell: 5.670 5.916 5.916 Å, 90.00 90.00 90.00°
Element x y z (fractional)
Co (0.500, 0.500, 0.500)
I (0.000, 0.000, 0.500)
Tl (0.000, 0.000, 0.000)
Sb (0.500, 0.000, 0.000)
I (0.000, 0.500, 0.000)

V: 39.69 Å³ per atom
Total energy: -2.4484 eV per atom
Energy relative to the elements, uncorrected: 1.2432 eV per atom
Fermi-level density of states: 9.56 states/eV/f.u.
SG: No. 123

***

# 2
# NaHfScTi2

NaHfScTi2 after structural relaxation (GGA-PBEsol, Alexandria via LeMat-Bulk).

Cell: 4.623 4.623 4.847 Å, 90.00 90.00 90.00°
Element x y z (fractional)
Ti (0.500, 0.000, 0.000)
Sc (0.000, 0.000, 0.000)
Na (0.000, 0.000, 0.500)
Ti (0.000, 0.500, 0.000)
Hf (0.500, 0.500, 0.500)

Energy of formation from the pure elements: 119.0 kJ per mole of atoms
V: 20.72 Å³ per atom
Total energy: -5.7975 eV per atom
Fermi-level density of states: 7.21 states/eV/f.u.
SG: No. 123

***

# 3
# Li2TcW

Li2TcW after structural relaxation (GGA-PBEsol, Alexandria via LeMat-Bulk).

Cell: 2.549 4.806 5.425 Å, 114.09 99.75 98.52°
Element x y z (fractional)
Li (0.000, 0.000, 0.500)
Li (0.500, 0.500, 0.500)
W (0.000, 0.500, 0.000)
Tc (0.500, 0.000, 0.000)

Energy of formation from the pure elements: 41.1 kJ per mole of atoms
V: 14.51 Å³ per atom
Total energy: -6.8257 eV per atom
Energy relative to the lowest polymorph listed for this composition: 84.8 meV per atom
Fermi-level density of states: 2.77 states/eV/f.u.
SG: No. 12

***

# 4
# ZrBe

ZrBe after structural relaxation (GGA-PBEsol, Alexandria via LeMat-Bulk).

Cell: 2.830 2.830 7.538 Å, 90.00 90.00 90.00°
Element x y z (fractional)
Be (0.500, 0.000, 0.066)
Zr (0.000, 0.500, 0.323)
Be (0.000, 0.500, 0.934)
Zr (0.500, 0.000, 0.677)

Energy of formation from the pure elements: 5.3 kJ per mole of atoms
V: 15.09 Å³ per atom
Total energy: -6.4899 eV per atom
Fermi-level density of states: 1.08 states/eV/f.u.
SG: No. 129

***

# 5
# MnFeBr

MnFeBr after structural relaxation (GGA-PBEsol, Alexandria via LeMat-Bulk).

Cell: 3.029 3.029 5.790 Å, 105.16 105.16 90.00°
Element x y z (fractional)
Mn (0.311, 0.311, 0.621)
Br (0.022, 0.022, 0.044)
Fe (0.667, 0.667, 0.335)

V: 16.45 Å³ per atom
Total energy: -6.2147 eV per atom
Energy relative to the elements, uncorrected: 0.6502 eV per atom
Fermi-level density of states: 2.93 states/eV/f.u.
SG: No. 107

***

# 6
# ZrNi3O

ZrNi3O after structural relaxation (GGA-PBEsol, Alexandria via LeMat-Bulk).

Cell: 4.474 4.474 4.474 Å, 90.00 90.00 90.00°
Element x y z (fractional)
Ni (0.500, 0.000, 0.000)
O (0.500, 0.500, 0.500)
Ni (0.000, 0.500, 0.000)
Zr (0.000, 0.000, 0.000)
Ni (0.000, 0.000, 0.500)

V: 17.91 Å³ per atom
Total energy: -4.7194 eV per atom
Energy relative to the elements, uncorrected: 1.8430 eV per atom
Fermi-level density of states: 3.87 states/eV/f.u.
SG: No. 221